TlTc | PBE | relaxed

Structure (POSCAR):
```
TlTc
1.0
-0.879 2.506 1.489
-1.213 -0.663 -2.713
-21.354 -15.407 13.315
Tl Tc
6 6
Direct
0.000 0.000 0.934
0.667 0.333 0.370
0.333 0.667 0.601
0.667 0.333 0.267
0.000 0.000 0.037
0.333 0.667 0.704
0.333 0.667 0.453
0.333 0.667 0.184
0.667 0.333 0.851
0.000 0.000 0.787
0.667 0.333 0.120
0.000 0.000 0.518
```

Calculated values
Space-group type ... R3m (160)
Final energy ... -11.73 eV/f.u.
Calculated volume ... 19.740 Å³ per atom
ΔE_f ... 48.4 kJ per mole of atoms


TlTc2 | PBE | relaxed

Structure (POSCAR):
```
TlTc2
1.0
6.390 0.000 0.000
0.000 6.390 0.000
0.000 0.000 6.390
Tc Tl
8 4
Direct
0.401 0.401 0.599
0.599 0.901 0.901
0.599 0.599 0.401
0.901 0.099 0.401
0.401 0.099 0.099
0.901 0.401 0.901
0.099 0.901 0.599
0.099 0.599 0.099
0.000 0.000 0.000
0.500 0.000 0.500
0.500 0.500 0.000
0.000 0.500 0.500
```

Calculated values
Space-group type ... Pa-3 (205)
Final energy ... -18.69 eV/f.u.
Calculated volume ... 21.739 Å³ per atom
ΔE_f ... 141.7 kJ per mole of atoms


TlTc2 | PBE | relaxed

Structure (POSCAR):
```
TlTc2
1.0
-2.842 0.229 0.687
1.124 -2.605 -0.742
1.522 -1.257 6.719
Tc Tl
2 1
Direct
0.333 0.667 0.360
0.667 0.333 0.640
0.000 0.000 0.000
```

Calculated values
Space-group type ... P-3m1 (164)
Final energy ... -21.63 eV/f.u.
Calculated volume ... 17.389 Å³ per atom
ΔE_f ... 47.2 kJ per mole of atoms


Tl5Tc | PBE | relaxed

Structure (POSCAR):
```
Tl5Tc
1.0
-1.262 -3.597 -5.225
0.582 -2.809 5.797
-4.504 0.542 0.715
Tl Tc
5 1
Direct
0.000 0.710 0.000
0.667 0.333 0.500
0.333 0.667 0.500
0.710 0.000 0.000
0.290 0.290 0.000
0.000 0.000 0.500
```

Calculated values
Space-group type ... P-62m (189)
Final energy ... -19.00 eV/f.u.
Calculated volume ... 27.728 Å³ per atom
ΔE_f ... 51.3 kJ per mole of atoms


Tl2Tc | PBE | relaxed

Structure (POSCAR):
```
Tl2Tc
1.0
1.594 5.085 0.006
-1.594 5.085 0.006
0.000 1.606 9.172
Tc Tl
2 4
Direct
0.780 0.780 0.405
0.220 0.220 0.595
0.059 0.059 0.326
0.644 0.644 0.901
0.941 0.941 0.674
0.356 0.356 0.099
```

Calculated values
Space-group type ... C2/m (12)
Final energy ... -13.77 eV/f.u.
Calculated volume ... 24.771 Å³ per atom
ΔE_f ... 42.7 kJ per mole of atoms


Tl2Tc | PBE | relaxed

Structure (POSCAR):
```
Tl2Tc
1.0
6.649 0.000 0.000
0.000 6.649 0.000
0.000 0.000 6.649
Tc Tl
4 8
Direct
0.500 0.000 0.500
0.000 0.500 0.500
0.500 0.500 0.000
0.000 0.000 0.000
0.250 0.250 0.750
0.750 0.250 0.750
0.750 0.750 0.750
0.250 0.750 0.250
0.250 0.250 0.250
0.750 0.750 0.250
0.250 0.750 0.750
0.750 0.250 0.250
```

Calculated values
Space-group type ... Fm-3m (225)
Final energy ... -12.48 eV/f.u.
Calculated volume ... 24.498 Å³ per atom
ΔE_f ... 84.3 kJ per mole of atoms


TlTc | PBE | relaxed

Structure (POSCAR):
```
TlTc
1.0
-7.013 -1.000 -0.035
-6.393 -0.970 2.895
-4.258 5.503 0.847
Tc Tl
3 3
Direct
0.360 0.360 0.230
0.041 0.041 0.003
0.428 0.428 0.859
0.670 0.670 0.578
0.716 0.716 0.022
0.952 0.952 0.475
```

Calculated values
Space-group type ... Cm (8)
Final energy ... -11.70 eV/f.u.
Calculated volume ... 20.961 Å³ per atom
ΔE_f ... 49.7 kJ per mole of atoms


TlTc2 | PBE | relaxed

Structure (POSCAR):
```
TlTc2
1.0
12.996 -0.004 0.000
11.732 5.591 0.000
-12.364 -2.793 2.868
Tl Tc
4 8
Direct
0.331 0.831 0.500
0.919 0.919 0.000
0.169 0.669 0.500
0.081 0.081 0.000
0.572 0.572 0.000
0.003 0.503 0.500
0.678 0.178 0.500
0.822 0.322 0.500
0.247 0.247 0.000
0.753 0.753 0.000
0.497 0.997 0.500
0.428 0.428 0.000
```

Calculated values
Space-group type ... I4_1/amd (141)
Final energy ... -20.88 eV/f.u.
Calculated volume ... 17.375 Å³ per atom
ΔE_f ... 71.4 kJ per mole of atoms